Entry 1:
Below is an optimized crystal structure of BaFeCl2, with properties calculated at the PBE level.

Computed properties:
* magnetic moment: 2.1 μB/cell
* energy relative to the lowest polymorph listed for this composition: 13.7 kJ per mole of atoms
* V: 26.176 Å³ per atom
* space group: R3m (160)
* raw formation energy: -0.784 eV per atom

The structure in extended XYZ format:
```
4
Lattice="2.107 1.217 6.807 -2.107 1.217 6.807 0.000 -2.433 6.807" Properties=species:S:1:pos:R:3 pbc="T T T"
Ba 0.000 0.000 0.000
Fe 0.000 0.000 4.438
Cl 0.000 0.000 11.452
Cl 0.000 0.000 15.557
```


Entry 2:
Below is an optimized crystal structure of Ba2FeHCl, with properties calculated at the PBE level.

Computed properties:
* magnetic moment: 2.5 μB/cell
* V: 28.521 Å³ per atom
* space group: P4/mmm (123)

The structure in extended XYZ format:
```
5
Lattice="5.268 0.000 0.000 0.000 5.268 0.000 0.000 0.000 5.139" Properties=species:S:1:pos:R:3 pbc="T T T"
Ba 0.000 2.634 0.000
Ba 2.634 0.000 0.000
Fe 0.000 0.000 2.570
H 2.634 2.634 0.000
Cl 2.634 2.634 2.570
```


no.,N(E_F) (states/eV/cell),VASP energy (eV for the cell shown)
1,2.3,-17.2
2,6.4,-17.7